Record 1
# ZrCo6Ge6 SCAN single point on PBEsol structure
data_ZrCo6Ge6
_chemical_formula_sum 'Zr1 Co6 Ge6'
_space_group_name_H-M_alt 'P 6/m m m'
_space_group_IT_number 191
_space_group_name_Hall '-P 6 2'
_cell_length_a 4.9871
_cell_length_b 4.9871
_cell_length_c 7.6813
_cell_angle_alpha 90.00
_cell_angle_beta 90.00
_cell_angle_gamma 120.00
loop_
_atom_site_label
_atom_site_fract_x
_atom_site_fract_y
_atom_site_fract_z
_atom_site_occupancy
Zr1 0.0000 0.0000 0.0000 1
Co1 0.0000 0.5000 0.2498 1
Ge1 0.0000 0.0000 0.3401 1
Ge2 0.3333 0.6667 0.0000 1
Ge3 0.3333 0.6667 0.5000 1
# VASP energy: -19.4395 eV per atom
# calculated formation energy: -27.18 kJ per mole of atoms

Record 2
# ZrCoGe SCAN single point on PBEsol structure
data_ZrCoGe
_chemical_formula_sum 'Zr4 Co4 Ge4'
_space_group_name_H-M_alt 'P n m a'
_space_group_IT_number 62
_cell_length_a 6.484
_cell_length_b 3.897
_cell_length_c 7.130
_cell_angle_alpha 90.00
_cell_angle_beta 90.00
_cell_angle_gamma 90.00
loop_
_space_group_symop_operation_xyz
'x,y,z'
'-x,-y,-z'
'-x+1/2,-y,z+1/2'
'x+1/2,y,-z+1/2'
'x+1/2,-y+1/2,-z+1/2'
'-x+1/2,y+1/2,z+1/2'
'-x,y+1/2,-z'
'x,-y+1/2,z'
loop_
_atom_site_label
_atom_site_fract_x
_atom_site_fract_y
_atom_site_fract_z
_atom_site_occupancy
Zr1 0.006 0.250 0.199 1
Co1 0.142 0.250 0.570 1
Ge1 0.224 0.750 0.396 1
# VASP energy: -23.0962 eV per atom
# calculated formation energy: -70.69 kJ per mole of atoms

Record 3
# Co4H SCAN single point on PBEsol structure
data_Co4H
_chemical_formula_sum 'Co4 H1'
_space_group_name_H-M_alt 'P -3 m 1'
_space_group_IT_number 164
_space_group_name_Hall '-P 3 2"'
_cell_length_a 2.4880
_cell_length_b 2.4880
_cell_length_c 8.0297
_cell_angle_alpha 90.00
_cell_angle_beta 90.00
_cell_angle_gamma 120.00
loop_
_atom_site_label
_atom_site_fract_x
_atom_site_fract_y
_atom_site_fract_z
_atom_site_occupancy
Co1 0.3333 0.6667 0.3653 1
Co2 0.3333 0.6667 0.8779 1
H1 0.0000 0.0000 0.5000 1
# VASP energy: -14.4746 eV per atom

Record 4
# HfCo3H SCAN single point on PBEsol structure
data_HfCo3H
_chemical_formula_sum 'Hf1 Co3 H1'
_space_group_name_H-M_alt 'P m -3 m'
_space_group_IT_number 221
_space_group_name_Hall '-P 4 2 3'
_cell_length_a 3.674
_cell_length_b 3.674
_cell_length_c 3.674
_cell_angle_alpha 90.00
_cell_angle_beta 90.00
_cell_angle_gamma 90.00
loop_
_atom_site_label
_atom_site_fract_x
_atom_site_fract_y
_atom_site_fract_z
_atom_site_occupancy
Hf1 0.000 0.000 0.000 1
Co1 0.000 0.500 0.500 1
H1 0.500 0.500 0.500 1
# VASP energy: -23.7872 eV per atom

Record 5
# Hf2CoH2 SCAN single point on PBEsol structure
data_Hf2CoH2
_chemical_formula_sum 'Hf4 Co2 H4'
_space_group_name_H-M_alt 'I 4/m m m'
_space_group_IT_number 139
_space_group_name_Hall '-I 4 2'
_cell_length_a 3.094
_cell_length_b 3.094
_cell_length_c 11.626
_cell_angle_alpha 90.00
_cell_angle_beta 90.00
_cell_angle_gamma 90.00
loop_
_atom_site_label
_atom_site_fract_x
_atom_site_fract_y
_atom_site_fract_z
_atom_site_occupancy
Hf1 0.000 0.000 0.134 1
Co1 0.000 0.000 0.500 1
H1 0.000 0.500 0.250 1
# VASP energy: -30.3573 eV per atom

Record 6
# Co3HgH SCAN single point on PBEsol structure
data_Co3HgH
_chemical_formula_sum 'Co3 Hg1 H1'
_space_group_name_H-M_alt 'P m -3 m'
_space_group_IT_number 221
_space_group_name_Hall '-P 4 2 3'
_cell_length_a 4.767
_cell_length_b 4.767
_cell_length_c 4.767
_cell_angle_alpha 90.00
_cell_angle_beta 90.00
_cell_angle_gamma 90.00
loop_
_atom_site_label
_atom_site_fract_x
_atom_site_fract_y
_atom_site_fract_z
_atom_site_occupancy
Co1 0.000 0.000 0.500 1
Hg1 0.000 0.000 0.000 1
H1 0.500 0.500 0.500 1
# VASP energy: -22.8456 eV per atom

Record 7
# Ti2CoHgH SCAN single point on PBEsol structure
data_Ti2CoHgH
_chemical_formula_sum 'Ti2 Co1 Hg1 H1'
_space_group_name_H-M_alt 'P 4/m m m'
_space_group_IT_number 123
_space_group_name_Hall '-P 4 2'
_cell_length_a 5.069
_cell_length_b 5.069
_cell_length_c 3.261
_cell_angle_alpha 90.00
_cell_angle_beta 90.00
_cell_angle_gamma 90.00
loop_
_atom_site_label
_atom_site_fract_x
_atom_site_fract_y
_atom_site_fract_z
_atom_site_occupancy
Ti1 0.000 0.500 0.000 1
Co1 0.000 0.000 0.500 1
Hg1 0.500 0.500 0.000 1
H1 0.500 0.500 0.500 1
# VASP energy: -23.2412 eV per atom

Record 8
# Zn2CoHgH SCAN single point on PBEsol structure
data_Zn2CoHgH
_chemical_formula_sum 'Zn2 Co1 Hg1 H1'
_space_group_name_H-M_alt 'P 4/m m m'
_space_group_IT_number 123
_space_group_name_Hall '-P 4 2'
_cell_length_a 4.214
_cell_length_b 4.214
_cell_length_c 3.334
_cell_angle_alpha 90.00
_cell_angle_beta 90.00
_cell_angle_gamma 90.00
loop_
_atom_site_label
_atom_site_fract_x
_atom_site_fract_y
_atom_site_fract_z
_atom_site_occupancy
Zn1 0.000 0.500 0.000 1
Co1 0.000 0.000 0.500 1
Hg1 0.500 0.500 0.500 1
H1 0.000 0.000 0.000 1
# VASP energy: -22.9833 eV per atom